Version A
VASP calculation (PBE-GGA) on a geometry-optimized ScTl2P structure.

- calculated volume (Å³/f.u.) = 105.4

Unit cell a=16.357 b=3.697 c=3.569 alpha=90.00 beta=102.49 gamma=90.00
Space group C2/m (No. 12)
One atom of each set of equivalent atoms:
Sc  0.000  0.000  0.000 x2
Tl  0.176  0.000  0.675 x4
P  0.000  0.500  0.500 x2



Version B
VASP calculation (PBE-GGA) on a geometry-optimized ScTl2P structure.

- calculated volume (Å³/f.u.) = 95.1

Unit cell a=7.245 b=7.245 c=7.245 alpha=90.00 beta=90.00 gamma=90.00
Space group Fm-3m (No. 225)
One atom of each set of equivalent atoms:
Sc  0.000  0.000  0.000 x4
Tl  0.250  0.250  0.250 x8
P  0.000  0.000  0.500 x4



What should be chosen as the most stable of them? Choose version A.